An optimized crystal structure of NbCr2FeH. Source: Alexandria, functional PBE-GGA.

```
NbCr2FeH
1.0
4.069 0.000 0.000
0.000 4.069 0.000
0.000 0.000 3.322
Nb Cr Fe H
1 2 1 1
direct
0.000 0.000 0.000 Nb
0.000 0.500 0.500 Cr
0.500 0.000 0.500 Cr
0.500 0.500 0.000 Fe
0.500 0.500 0.500 H
```

Output
For the density of states at the Fermi level, the calculation gives 5.5 states/eV/f.u. The value obtained for the final energy is -40.45 eV/f.u. Its space-group type is P4/mmm, No. 123. The mass density is 7.7 g/cm3.

***

An optimized crystal structure of CaSm2NpSb4. Source: Alexandria, functional PBE-GGA.

```
CaSm2NpSb4
1.0
7.726 0.000 0.000
0.000 4.460 0.000
-2.530 0.000 7.303
Ca Sm Np Sb
1 2 1 4
direct
0.000 0.000 0.000 Ca
0.500 0.000 0.500 Sm
0.500 0.500 0.000 Sm
0.000 0.500 0.500 Np
0.246 0.000 0.744 Sb
0.248 0.500 0.257 Sb
0.752 0.500 0.743 Sb
0.754 0.000 0.256 Sb
```

Output
For the density of states at the Fermi level, the calculation gives 11.6 states/eV/f.u. Its space-group type is P2/m, No. 10. The mass density is 7.0 g/cm3. The calculation puts the uncorrected formation energy at -19.23 kcal/mol of atoms.